No. 1
Material: Na2LaB2O6
Method: DFT, PBE-GGA
State: relaxed Values from VASP.

```
&SYSTEM
  ibrav = 0, nat = 11, ntyp = 4
/
ATOMIC_SPECIES
Na 22.99 Na.upf
La 138.91 La.upf
B 10.81 B.upf
O 16.00 O.upf
CELL_PARAMETERS angstrom
5.4240 0.0000 0.0000
-2.7120 4.6973 0.0000
0.0000 0.0000 6.3967
ATOMIC_POSITIONS angstrom
Na 2.7120 1.5658 4.1111
Na 0.0000 3.1315 2.2856
La 0.0000 0.0000 0.0000
B 0.0000 3.1315 5.0068
B 2.7120 1.5658 1.3899
O -0.5825 1.8823 4.9685
O 1.3731 3.2517 4.9685
O -0.7906 4.2606 4.9685
O 3.2945 2.8150 1.4282
O 1.3388 1.4456 1.4282
O 3.5026 0.4367 1.4282
```

Values from the calculation:
E   -6.96 eV/atom
SG   No. 147
M_tot   1.01 Bohr magnetons per cell
Calculated volume   163.0 Å³ per cell
Density   3082 kg/m3
Energy relative to the elements, uncorrected   -2.3573 eV per atom

---

No. 2
Material: Na3La2B3O9
Method: DFT, PBE-GGA
State: relaxed Values from VASP.

```
&SYSTEM
  ibrav = 0, nat = 17, ntyp = 4
/
ATOMIC_SPECIES
Na 22.99 Na.upf
La 138.91 La.upf
B 10.81 B.upf
O 16.00 O.upf
CELL_PARAMETERS angstrom
6.7796 0.0011 0.0000
-2.7868 6.1804 0.0000
0.0000 0.0000 5.1874
ATOMIC_POSITIONS angstrom
Na 1.8211 2.8194 0.0000
Na 0.4727 0.7318 2.5937
Na 2.8143 4.3569 2.5937
La 4.0697 0.2697 0.0000
La -1.4276 3.8206 0.0000
B 4.0962 1.8052 2.5937
B 0.2389 0.3699 0.0000
B -0.0389 4.4762 2.5937
O 3.4709 5.3735 0.0000
O -0.4005 1.5876 0.0000
O -1.4194 4.6530 2.5937
O 3.6989 2.3674 3.8044
O 1.6118 0.2878 0.0000
O 4.8251 0.6195 2.5937
O 0.6370 4.3452 3.8044
O 3.6989 2.3674 1.3830
O 0.6370 4.3452 1.3830
```

Values from the calculation:
E   -7.27 eV/atom
SG   No. 38
M_tot   0.00 Bohr magnetons per cell
Calculated volume   217.4 Å³ per cell
Density   3997 kg/m3
Energy relative to the elements, uncorrected   -2.6572 eV per atom

---

No. 3
Material: Na3LaB2O6
Method: DFT, PBE-GGA
State: relaxed Values from VASP.

```
&SYSTEM
  ibrav = 0, nat = 48, ntyp = 4
/
ATOMIC_SPECIES
Na 22.99 Na.upf
La 138.91 La.upf
B 10.81 B.upf
O 16.00 O.upf
CELL_PARAMETERS angstrom
8.9199 0.0000 0.0000
0.0000 6.7465 0.0232
0.0000 6.5819 10.4135
ATOMIC_POSITIONS angstrom
Na 8.3163 7.9965 6.3455
Na 0.6036 5.3319 4.0912
Na 3.8563 8.6228 9.2980
Na 5.0636 4.7055 1.1387
Na 2.0635 9.8677 6.8623
Na 6.8564 3.4606 3.5744
Na 6.5235 6.7516 8.7812
Na 2.3964 6.5768 1.6555
Na 2.7855 6.8084 6.3266
Na 6.1344 6.5200 4.1101
Na 7.2455 9.8109 9.3168
Na 1.6744 3.5175 1.1199
La 1.0262 12.2490 8.9428
La 7.8937 1.0794 1.4938
La 5.4862 4.3703 6.7006
La 3.4338 8.9581 3.7361
B 0.8670 8.4653 8.9733
B 8.0529 4.8631 1.4634
B 5.3269 8.1541 6.6701
B 3.5930 5.1743 3.7666
B 3.8853 11.6106 9.1640
B 5.0347 1.7178 1.2727
B 8.3452 5.0088 6.4795
B 0.5747 8.3196 3.9572
O 3.2654 11.6089 7.8995
O 5.6546 1.7195 2.5371
O 7.7253 5.0104 7.7439
O 1.1946 8.3179 2.6928
O 0.8909 9.8358 9.0847
O 8.0290 3.4926 1.3520
O 5.3508 6.7836 6.5588
O 3.5691 6.5448 3.8779
O 3.1306 11.9217 10.2837
O 5.7893 1.4067 0.1530
O 7.5906 4.6977 5.3598
O 1.3294 8.6307 5.0769
O 4.2543 8.9128 6.1647
O 4.6656 4.4156 4.2720
O 8.7143 7.7065 9.4787
O 0.2056 5.6218 0.9579
O 0.7640 5.3680 6.4113
O 8.1559 7.9603 4.0254
O 5.2240 11.2513 9.2321
O 3.6959 2.0771 1.2046
O 1.8945 7.7820 8.3259
O 7.0254 5.5464 2.1108
O 6.3544 8.8373 7.3176
O 2.5655 4.4911 3.1191
```

Values from the calculation:
E   -6.80 eV/atom
SG   No. 14
M_tot   0.00 Bohr magnetons per cell
Calculated volume   625.3 Å³ per cell
Density   3457 kg/m3
Energy relative to the elements, uncorrected   -2.4726 eV per atom

---

No. 4
Material: NaLaB2Pb
Method: DFT, PBE-GGA
State: relaxed Values from VASP.

```
&SYSTEM
  ibrav = 0, nat = 5, ntyp = 4
/
ATOMIC_SPECIES
Pb 207.20 Pb.upf
Na 22.99 Na.upf
B 10.81 B.upf
La 138.91 La.upf
CELL_PARAMETERS angstrom
-0.6651 3.0010 -3.7410
-0.6648 -4.6998 -3.6520
-4.7657 0.0097 0.8551
ATOMIC_POSITIONS angstrom
Pb 0.0000 0.0000 0.0000
Na -3.0478 -0.8445 -3.2689
B -2.3829 0.0048 0.4275
B -0.3326 1.5005 -1.8705
La -0.3324 -2.3499 -1.8260
```

Values from the calculation:
E   -3.04 eV/atom
SG   No. 123
M_tot   0.00 Bohr magnetons per cell
DFT formation energy   1620 meV per atom
Calculated volume   140.4 Å³ per cell
Density   4621 kg/m3

---

No. 5
Material: NaLaBPb2
Method: DFT, PBE-GGA
State: relaxed Values from VASP.

```
&SYSTEM
  ibrav = 0, nat = 5, ntyp = 4
/
ATOMIC_SPECIES
Pb 207.20 Pb.upf
Na 22.99 Na.upf
B 10.81 B.upf
La 138.91 La.upf
CELL_PARAMETERS angstrom
5.1622 0.0000 0.0000
0.0000 5.1780 0.0000
0.0000 0.0000 5.1622
ATOMIC_POSITIONS angstrom
Pb 0.0000 0.0000 2.5811
Pb 2.5811 0.0000 0.0000
Na 2.5811 2.5890 2.5811
B 0.0000 0.0000 0.0000
La 0.0000 2.5890 0.0000
```

Values from the calculation:
E   -3.86 eV/atom
SG   No. 123
M_tot   0.00 Bohr magnetons per cell
DFT formation energy   204 meV per atom
Calculated volume   138.0 Å³ per cell
Density   7065 kg/m3

---

No. 6
Material: LaNb3B
Method: DFT, PBE-GGA
State: relaxed Values from VASP.

```
&SYSTEM
  ibrav = 0, nat = 5, ntyp = 3
/
ATOMIC_SPECIES
Nb 92.91 Nb.upf
B 10.81 B.upf
La 138.91 La.upf
CELL_PARAMETERS angstrom
4.8680 0.0000 0.0000
0.0000 4.8680 0.0000
0.0000 0.0000 4.8680
ATOMIC_POSITIONS angstrom
Nb 0.0000 2.4340 0.0000
Nb 0.0000 0.0000 2.4340
Nb 2.4340 0.0000 0.0000
B 2.4340 2.4340 2.4340
La 0.0000 0.0000 0.0000
```

Values from the calculation:
E   -5.70 eV/atom
Distance to the lowest polymorph of the same formula   2363.3 meV per atom
SG   No. 221
M_tot   0.00 Bohr magnetons per cell
DFT formation energy   2660 meV per atom
Calculated volume   115.4 Å³ per cell
Density   6167 kg/m3

---

No. 7
Material: LaNb2B
Method: DFT, PBE-GGA
State: relaxed Values from VASP.

```
&SYSTEM
  ibrav = 0, nat = 8, ntyp = 3
/
ATOMIC_SPECIES
Nb 92.91 Nb.upf
B 10.81 B.upf
La 138.91 La.upf
CELL_PARAMETERS angstrom
-1.6397 6.3194 1.0520
-3.5608 0.0037 -5.5723
-6.3729 1.7814 0.1497
ATOMIC_POSITIONS angstrom
Nb -2.6556 2.8246 -0.2631
Nb -4.4313 2.8084 -3.0523
Nb -7.6150 3.7081 -2.9679
Nb -8.4450 6.8678 -2.4579
B -2.6003 3.1615 -2.2601
B -6.2670 2.4733 -3.8414
La 0.0000 0.0000 0.0000
La -5.3065 5.6312 -0.5292
```

Values from the calculation:
E   -7.15 eV/atom
SG   No. 122
M_tot   0.00 Bohr magnetons per cell
DFT formation energy   789 meV per atom
Calculated volume   204.9 Å³ per cell
Density   5440 kg/m3

---

No. 8
Material: LaNbB2
Method: DFT, PBE-GGA
State: relaxed Values from VASP.

```
&SYSTEM
  ibrav = 0, nat = 4, ntyp = 3
/
ATOMIC_SPECIES
Nb 92.91 Nb.upf
B 10.81 B.upf
La 138.91 La.upf
CELL_PARAMETERS angstrom
0.7149 -1.2036 4.2432
-3.4618 -0.8284 2.7008
-0.8598 -4.1842 1.3105
ATOMIC_POSITIONS angstrom
Nb 0.0000 0.0000 0.0000
B -0.9017 -1.5541 2.0636
B -2.7050 -4.6622 6.1908
La -1.8033 -3.1081 4.1272
```

Values from the calculation:
E   -6.40 eV/atom
Distance to the lowest polymorph of the same formula   157.1 meV per atom
SG   No. 225
M_tot   1.23 Bohr magnetons per cell
DFT formation energy   689 meV per atom
Calculated volume   63.1 Å³ per cell
Density   6672 kg/m3

---

No. 9
Material: LaNbB2
Method: DFT, PBE-GGA
State: relaxed Values from VASP.

```
&SYSTEM
  ibrav = 0, nat = 8, ntyp = 3
/
ATOMIC_SPECIES
Nb 92.91 Nb.upf
B 10.81 B.upf
La 138.91 La.upf
CELL_PARAMETERS angstrom
-1.4918 5.1281 0.9509
-1.9927 0.3536 -5.0330
-6.7946 0.9239 -0.1684
ATOMIC_POSITIONS angstrom
Nb -1.7422 2.7409 -2.0411
Nb -5.2647 2.0092 -3.6213
B -2.7583 3.0617 -0.1545
B -3.2523 1.5115 -2.9913
B -6.5653 2.7774 -2.0679
B -7.9822 5.4605 -3.2874
La 0.0000 0.0000 0.0000
La -5.0143 4.3964 -0.6293
```

Values from the calculation:
E   -6.56 eV/atom
Distance to the lowest polymorph of the same formula   0.0 meV per atom
SG   No. 122
M_tot   0.00 Bohr magnetons per cell
DFT formation energy   532 meV per atom
Calculated volume   167.3 Å³ per cell
Density   5030 kg/m3

---

No. 10
Material: LaNb3B
Method: DFT, PBE-GGA
State: relaxed Values from VASP.

```
&SYSTEM
  ibrav = 0, nat = 5, ntyp = 3
/
ATOMIC_SPECIES
Nb 92.91 Nb.upf
B 10.81 B.upf
La 138.91 La.upf
CELL_PARAMETERS angstrom
-0.7724 -4.3834 -1.1344
2.9469 -1.3603 3.2500
-3.4375 -0.1813 3.0410
ATOMIC_POSITIONS angstrom
Nb 1.4735 -0.6802 1.6250
Nb -1.7188 -0.0906 1.5205
Nb -0.3862 -2.1917 -0.5672
B 0.0000 0.0000 0.0000
La -0.6315 -2.9625 2.5783
```

Values from the calculation:
E   -8.07 eV/atom
Distance to the lowest polymorph of the same formula   0.0 meV per atom
SG   No. 221
M_tot   0.00 Bohr magnetons per cell
DFT formation energy   297 meV per atom
Calculated volume   96.9 Å³ per cell
Density   7342 kg/m3

---

No. 11
Material: La3NbB
Method: DFT, PBE-GGA
State: relaxed Values from VASP.

```
&SYSTEM
  ibrav = 0, nat = 5, ntyp = 3
/
ATOMIC_SPECIES
Nb 92.91 Nb.upf
B 10.81 B.upf
La 138.91 La.upf
CELL_PARAMETERS angstrom
-0.3724 3.6425 -3.7577
-3.7312 -2.8263 -2.3700
-3.6696 2.5041 2.7911
ATOMIC_POSITIONS angstrom
Nb -3.8866 1.6602 -1.6683
B 0.0000 0.0000 0.0000
La -1.8656 -1.4132 -1.1850
La -1.8348 1.2521 1.3955
La -0.1862 1.8213 -1.8788
```

Values from the calculation:
E   -5.70 eV/atom
Distance to the lowest polymorph of the same formula   0.0 meV per atom
SG   No. 221
M_tot   0.00 Bohr magnetons per cell
DFT formation energy   607 meV per atom
Calculated volume   144.4 Å³ per cell
Density   5984 kg/m3

---

No. 12
Material: LaNbRe2B
Method: DFT, PBE-GGA
State: relaxed Values from VASP.

```
&SYSTEM
  ibrav = 0, nat = 5, ntyp = 4
/
ATOMIC_SPECIES
Re 186.21 Re.upf
Nb 92.91 Nb.upf
B 10.81 B.upf
La 138.91 La.upf
CELL_PARAMETERS angstrom
-1.5412 -0.2391 -3.8992
0.9525 -4.9247 -0.0745
-3.8242 -0.7632 1.5584
ATOMIC_POSITIONS angstrom
Re -1.9121 -0.3816 0.7792
Re -0.7706 -0.1195 -1.9496
Nb -2.2065 -2.9635 -1.2076
B 0.0000 0.0000 0.0000
La 0.4762 -2.4624 -0.0372
```

Values from the calculation:
E   -8.75 eV/atom
SG   No. 123
M_tot   0.00 Bohr magnetons per cell
DFT formation energy   561 meV per atom
Calculated volume   88.5 Å³ per cell
Density   11544 kg/m3